# 1
! NiHg2P (SCAN, PBEsol geometry); values from VASP
&SYSTEM
  ibrav = 0, nat = 4, ntyp = 3
/
ATOMIC_SPECIES
P 30.97 P.upf
Ni 58.69 Ni.upf
Hg 200.59 Hg.upf
ATOMIC_POSITIONS crystal
P 0.5000 0.5000 0.4232
Ni 0.0000 0.0000 0.3235
Hg 0.5000 0.5000 0.7309
Hg 0.0000 0.0000 0.0224
CELL_PARAMETERS angstrom
2.8569 0.0000 0.0000
0.0000 2.9993 0.0000
0.0000 0.0000 8.6633
! - E: -40.697 eV/atom
! - Density of states at the Fermi level: 2.0 states/eV/cell

# 2
! Sr5Cd4 (SCAN, PBEsol geometry); values from VASP
&SYSTEM
  ibrav = 0, nat = 18, ntyp = 2
/
ATOMIC_SPECIES
Sr 87.62 Sr.upf
Cd 112.41 Cd.upf
ATOMIC_POSITIONS crystal
Sr 0.0000 0.3333 0.6667
Sr 0.5000 0.3333 0.6667
Sr 0.2500 0.7183 0.7183
Sr 0.7500 0.2817 0.2817
Sr 0.2500 0.2817 0.0000
Sr 0.2500 0.0000 0.2817
Sr 0.7500 0.7183 0.0000
Sr 0.5000 0.6667 0.3333
Sr 0.7500 0.0000 0.7183
Sr 0.0000 0.6667 0.3333
Cd 0.2500 0.6150 0.0000
Cd 0.0000 0.0000 0.0000
Cd 0.7500 0.3850 0.0000
Cd 0.7500 0.0000 0.3850
Cd 0.2500 0.3850 0.3850
Cd 0.2500 0.0000 0.6150
Cd 0.5000 0.0000 0.0000
Cd 0.7500 0.6150 0.6150
CELL_PARAMETERS angstrom
-5.5556 -4.3249 -0.1212
6.1577 -7.9371 0.9659
-3.7110 4.5367 8.2155
! - E: -26.163 eV/atom
! - Density of states at the Fermi level: 18.4 states/eV/cell

# 3
! SrTaMn2 (SCAN, PBEsol geometry); values from VASP
&SYSTEM
  ibrav = 0, nat = 4, ntyp = 3
/
ATOMIC_SPECIES
Mn 54.94 Mn.upf
Ta 180.95 Ta.upf
Sr 87.62 Sr.upf
ATOMIC_POSITIONS crystal
Mn 0.0000 0.0000 0.0000
Mn 0.7500 0.2500 0.5000
Ta 0.2500 0.7500 0.5000
Sr 0.5000 0.5000 0.0000
CELL_PARAMETERS angstrom
-1.9083 3.4355 0.3366
-3.4298 -1.8436 -0.6282
2.2033 -1.5087 4.7807
! - Energy above the most stable polymorph in this dataset: 191 meV/atom
! - Density of states at the Fermi level: 4.0 states/eV/cell

# 4
! CuPd2Au (SCAN, PBEsol geometry); values from VASP
&SYSTEM
  ibrav = 0, nat = 4, ntyp = 3
/
ATOMIC_SPECIES
Au 196.97 Au.upf
Pd 106.42 Pd.upf
Cu 63.55 Cu.upf
ATOMIC_POSITIONS crystal
Au 0.5000 0.5000 0.5000
Pd 0.2500 0.2500 0.2500
Pd 0.7500 0.7500 0.7500
Cu 0.0000 0.0000 0.0000
CELL_PARAMETERS angstrom
-2.6245 0.4226 3.4452
-1.5432 -3.5394 2.0067
1.4365 -1.0498 3.9712
! - E: -37.543 eV/atom
! - Density of states at the Fermi level: 3.5 states/eV/cell

# 5
! Sc4Si5 (SCAN, PBEsol geometry); values from VASP
&SYSTEM
  ibrav = 0, nat = 9, ntyp = 2
/
ATOMIC_SPECIES
Sc 44.96 Sc.upf
Si 28.09 Si.upf
ATOMIC_POSITIONS crystal
Sc 0.7037 0.2963 0.2963
Sc 0.0000 0.2963 0.7037
Sc 0.2963 0.7037 0.7037
Sc 0.0000 0.7037 0.2963
Si 0.3153 0.3694 0.0000
Si 0.6847 0.0000 0.6306
Si 0.6847 0.6306 0.0000
Si 0.0000 0.0000 0.0000
Si 0.3153 0.0000 0.3694
CELL_PARAMETERS angstrom
3.7453 0.0000 0.0000
1.8726 6.4465 0.0000
1.8726 0.0000 6.4465
! - Energy relative to the elements, uncorrected: -0.474 eV per atom
! - Density of states at the Fermi level: 4.2 states/eV/cell

# 6
! CaFe2Pb (SCAN, PBEsol geometry); values from VASP
&SYSTEM
  ibrav = 0, nat = 4, ntyp = 3
/
ATOMIC_SPECIES
Ca 40.08 Ca.upf
Pb 207.20 Pb.upf
Fe 55.84 Fe.upf
ATOMIC_POSITIONS crystal
Ca 0.5000 0.5000 0.5000
Pb 0.2500 0.2500 0.2500
Fe 0.0000 0.0000 0.0000
Fe 0.7500 0.7500 0.7500
CELL_PARAMETERS angstrom
-1.2343 0.1125 -4.5107
2.2463 -2.6800 -3.1071
-2.1695 -3.6709 -1.9235
! - E: -30.085 eV/atom
! - Density of states at the Fermi level: 3.1 states/eV/cell

# 7
! LaBCl3 (SCAN, PBEsol geometry); values from VASP
&SYSTEM
  ibrav = 0, nat = 5, ntyp = 3
/
ATOMIC_SPECIES
Cl 35.45 Cl.upf
La 138.91 La.upf
B 10.81 B.upf
ATOMIC_POSITIONS crystal
Cl 0.0000 0.0000 0.5000
Cl 0.5000 0.0000 0.0000
Cl 0.0000 0.5000 0.0000
La 0.0000 0.0000 0.0000
B 0.5000 0.5000 0.5000
CELL_PARAMETERS angstrom
5.4958 0.0000 0.0000
0.0000 5.4958 0.0000
0.0000 0.0000 5.4958
! - Energy relative to the elements, uncorrected: -0.788 eV per atom
! - Density of states at the Fermi level: 5.4 states/eV/cell

# 8
! Hg2IrOs (SCAN, PBEsol geometry); values from VASP
&SYSTEM
  ibrav = 0, nat = 4, ntyp = 3
/
ATOMIC_SPECIES
Os 190.23 Os.upf
Hg 200.59 Hg.upf
Ir 192.22 Ir.upf
ATOMIC_POSITIONS crystal
Os 0.5000 0.5000 0.5000
Hg 0.0000 0.0000 0.2494
Hg 0.0000 0.0000 0.7506
Ir 0.5000 0.5000 0.0000
CELL_PARAMETERS angstrom
-1.5418 -2.3383 -0.6038
2.3613 -2.1908 2.4544
-3.5020 1.1696 4.4131
! - Energy above the most stable polymorph in this dataset: 170 meV/atom
! - Density of states at the Fermi level: 3.4 states/eV/cell

# 9
! BeFeOs (SCAN, PBEsol geometry); values from VASP
&SYSTEM
  ibrav = 0, nat = 3, ntyp = 3
/
ATOMIC_SPECIES
Be 9.01 Be.upf
Fe 55.84 Fe.upf
Os 190.23 Os.upf
ATOMIC_POSITIONS crystal
Be 0.0099 0.0099 0.0197
Fe 0.6539 0.6539 0.3078
Os 0.3362 0.3362 0.6725
CELL_PARAMETERS angstrom
-2.2250 -0.2371 1.5072
1.5171 -0.6282 2.1407
0.6144 4.6114 -0.7823
! - Energy above the most stable polymorph in this dataset: 0 meV/atom
! - Density of states at the Fermi level: 2.1 states/eV/cell

# 10
! LiAlRh2 (SCAN, PBEsol geometry); values from VASP
&SYSTEM
  ibrav = 0, nat = 4, ntyp = 3
/
ATOMIC_SPECIES
Al 26.98 Al.upf
Li 6.94 Li.upf
Rh 102.91 Rh.upf
ATOMIC_POSITIONS crystal
Al 0.5000 0.5000 0.0000
Li 0.0000 0.5000 0.5000
Rh 0.2361 0.0000 0.2560
Rh 0.7639 0.0000 0.7440
CELL_PARAMETERS angstrom
2.7069 0.0000 0.0135
0.0000 3.9264 0.0000
-0.5181 0.0000 4.8978
! - E: -19.977 eV/atom
! - Density of states at the Fermi level: 1.9 states/eV/cell

# 11
! Al2SiHg (SCAN, PBEsol geometry); values from VASP
&SYSTEM
  ibrav = 0, nat = 4, ntyp = 3
/
ATOMIC_SPECIES
Al 26.98 Al.upf
Hg 200.59 Hg.upf
Si 28.09 Si.upf
ATOMIC_POSITIONS crystal
Al 0.0000 0.0000 0.5000
Al 0.0000 0.5000 0.0000
Hg 0.5000 0.5000 0.5000
Si 0.5000 0.0000 0.0000
CELL_PARAMETERS angstrom
2.8585 0.0786 0.1000
-0.3835 4.9848 0.1775
-0.3835 -1.0081 4.8850
! - Energy relative to the elements, uncorrected: 0.299 eV per atom
! - Energy above the most stable polymorph in this dataset: 141 meV/atom
! - Density of states at the Fermi level: 1.6 states/eV/cell

# 12
! CaIrNO2 (SCAN, PBEsol geometry); values from VASP
&SYSTEM
  ibrav = 0, nat = 5, ntyp = 4
/
ATOMIC_SPECIES
O 16.00 O.upf
N 14.01 N.upf
Ca 40.08 Ca.upf
Ir 192.22 Ir.upf
ATOMIC_POSITIONS crystal
O 0.0000 0.5000 0.0000
O 0.5000 0.0000 0.0000
N 0.0000 0.0000 0.5000
Ca 0.0000 0.0000 0.0000
Ir 0.5000 0.5000 0.5000
CELL_PARAMETERS angstrom
-2.6054 -3.0597 -0.6447
-0.0998 -0.7573 3.9978
-3.3928 2.7953 0.4448
! - Energy relative to the elements, uncorrected: 1.206 eV per atom
! - Density of states at the Fermi level: 3.0 states/eV/cell

# 13
! Li3MnCu3O8 (SCAN, PBEsol geometry); values from VASP
&SYSTEM
  ibrav = 0, nat = 15, ntyp = 4
/
ATOMIC_SPECIES
O 16.00 O.upf
Li 6.94 Li.upf
Cu 63.55 Cu.upf
Mn 54.94 Mn.upf
ATOMIC_POSITIONS crystal
O 0.7712 0.2401 0.2175
O 0.7415 0.7415 0.7755
O 0.2585 0.2585 0.2245
O 0.7599 0.2288 0.7825
O 0.2288 0.7599 0.7825
O 0.2288 0.2288 0.7825
O 0.7712 0.7712 0.2175
O 0.2401 0.7712 0.2175
Li 0.0000 0.5000 0.5000
Li 0.0000 0.0000 0.5000
Li 0.5000 0.0000 0.5000
Cu 0.5000 0.5000 0.0000
Cu 0.5000 0.0000 0.0000
Cu 0.0000 0.5000 0.0000
Mn 0.0000 0.0000 0.0000
CELL_PARAMETERS angstrom
5.7761 0.0000 0.0000
2.8881 5.0023 0.0000
2.8881 1.6674 4.7417
! - Energy relative to the elements, uncorrected: -1.484 eV per atom

# 14
! Li3Tl4 (SCAN, PBEsol geometry); values from VASP
&SYSTEM
  ibrav = 0, nat = 7, ntyp = 2
/
ATOMIC_SPECIES
Li 6.94 Li.upf
Tl 204.38 Tl.upf
ATOMIC_POSITIONS crystal
Li 0.2860 0.2860 0.5721
Li 0.0000 0.0000 0.0000
Li 0.7140 0.7140 0.4279
Tl 0.8442 0.8442 0.6884
Tl 0.4276 0.4276 0.8552
Tl 0.1558 0.1558 0.3116
Tl 0.5724 0.5724 0.1448
CELL_PARAMETERS angstrom
3.7326 0.0000 0.0000
0.0000 3.7326 0.0000
-1.8663 -1.8663 11.1776
! - E: -42.580 eV/atom
! - Density of states at the Fermi level: 2.6 states/eV/cell

# 15
! Al2InSbH (SCAN, PBEsol geometry); values from VASP
&SYSTEM
  ibrav = 0, nat = 5, ntyp = 4
/
ATOMIC_SPECIES
H 1.01 H.upf
In 114.82 In.upf
Al 26.98 Al.upf
Sb 121.76 Sb.upf
ATOMIC_POSITIONS crystal
H 0.0000 0.0000 0.0000
In 0.0000 0.0000 0.5000
Al 0.5000 0.0000 0.0000
Al 0.0000 0.5000 0.0000
Sb 0.5000 0.5000 0.5000
CELL_PARAMETERS angstrom
4.3677 0.0000 0.0000
0.0000 4.3677 0.0000
0.0000 0.0000 4.7485
! - E: -17.582 eV/atom
! - Density of states at the Fermi level: 1.7 states/eV/cell

# 16
! Ba2I2Br (SCAN, PBEsol geometry); values from VASP
&SYSTEM
  ibrav = 0, nat = 10, ntyp = 3
/
ATOMIC_SPECIES
I 126.90 I.upf
Ba 137.33 Ba.upf
Br 79.90 Br.upf
ATOMIC_POSITIONS crystal
I 0.5000 0.3557 0.1443
I 0.5000 0.1443 0.6443
I 0.5000 0.6443 0.8557
I 0.5000 0.8557 0.3557
Ba 0.0000 0.3396 0.8396
Ba 0.0000 0.1604 0.3396
Ba 0.0000 0.8396 0.6604
Ba 0.0000 0.6604 0.1604
Br 0.0000 0.0000 0.0000
Br 0.0000 0.5000 0.5000
CELL_PARAMETERS angstrom
4.7802 0.0000 0.0000
0.0000 8.8995 0.0000
0.0000 0.0000 8.8995
! - Energy relative to the elements, uncorrected: -1.865 eV per atom
! - Density of states at the Fermi level: 2.5 states/eV/cell

# 17
! SbRuPb2 (SCAN, PBEsol geometry); values from VASP
&SYSTEM
  ibrav = 0, nat = 4, ntyp = 3
/
ATOMIC_SPECIES
Sb 121.76 Sb.upf
Pb 207.20 Pb.upf
Ru 101.07 Ru.upf
ATOMIC_POSITIONS crystal
Sb 0.5000 0.5000 0.5000
Pb 0.0000 0.0000 0.2011
Pb 0.0000 0.0000 0.7989
Ru 0.5000 0.5000 0.0000
CELL_PARAMETERS angstrom
3.2995 0.0000 0.0000
0.0000 3.2995 0.0000
0.0000 0.0000 8.3241
! - Energy relative to the elements, uncorrected: 0.395 eV per atom
! - Density of states at the Fermi level: 2.8 states/eV/cell

# 18
! YBrO (SCAN, PBEsol geometry); values from VASP
&SYSTEM
  ibrav = 0, nat = 6, ntyp = 3
/
ATOMIC_SPECIES
Br 79.90 Br.upf
Y 88.91 Y.upf
O 16.00 O.upf
ATOMIC_POSITIONS crystal
Br 0.1092 0.1092 0.6725
Br 0.8908 0.8908 0.3275
Y 0.7130 0.7130 0.8611
Y 0.2870 0.2870 0.1389
O 0.3612 0.3612 0.9164
O 0.6388 0.6388 0.0836
CELL_PARAMETERS angstrom
3.7950 0.0000 0.0000
1.8975 3.2866 0.0000
1.8975 1.0955 10.1433
! - Energy relative to the elements, uncorrected: -3.235 eV per atom
! - Density of states at the Fermi level: 0.0 states/eV/cell

# 19
! Al2ZnP (SCAN, PBEsol geometry); values from VASP
&SYSTEM
  ibrav = 0, nat = 4, ntyp = 3
/
ATOMIC_SPECIES
Al 26.98 Al.upf
P 30.97 P.upf
Zn 65.41 Zn.upf
ATOMIC_POSITIONS crystal
Al 0.0000 0.5000 0.5000
Al 0.0000 0.0000 0.0000
P 0.5000 0.5000 0.0000
Zn 0.5000 0.0000 0.5000
CELL_PARAMETERS angstrom
3.5084 0.0000 0.0000
0.0000 3.8401 0.0000
0.0000 0.0000 4.6346
! - Energy above the most stable polymorph in this dataset: 42 meV/atom
! - Density of states at the Fermi level: 1.4 states/eV/cell

# 20
! Zr2MnCrAg (SCAN, PBEsol geometry); values from VASP
&SYSTEM
  ibrav = 0, nat = 5, ntyp = 4
/
ATOMIC_SPECIES
Ag 107.87 Ag.upf
Zr 91.22 Zr.upf
Mn 54.94 Mn.upf
Cr 52.00 Cr.upf
ATOMIC_POSITIONS crystal
Ag 0.5000 0.5000 0.5000
Zr 0.0000 0.0000 0.5000
Zr 0.0000 0.5000 0.0000
Mn 0.0000 0.0000 0.0000
Cr 0.5000 0.0000 0.0000
CELL_PARAMETERS angstrom
-3.8545 1.1265 -0.8314
-1.4020 -4.5958 0.2730
-0.8568 0.5408 4.7047
! - E: -25.396 eV/atom
! - Density of states at the Fermi level: 4.4 states/eV/cell